Record 1
# Si2SbW, PBEsol geometry, DFT meta-GGA SCAN
# formation energy without anion corrections: 764 meV/atom
data_Si2SbW
_cell_length_a 5.560
_cell_length_b 7.345
_cell_length_c 3.175
_cell_angle_alpha 90.00
_cell_angle_beta 90.00
_cell_angle_gamma 90.00
_space_group_name_H-M_alt 'C m m m'
_space_group_IT_number 65
_space_group_name_Hall '-C 2 2'
loop_
_atom_site_label
_atom_site_fract_x
_atom_site_fract_y
_atom_site_fract_z
_atom_site_occupancy
Si1 0.250 0.250 0.000 1
Sb1 0.000 0.000 0.500 1
W1 0.000 0.500 0.500 1

Record 2
# MnH12C2N2Cl4, PBEsol geometry, DFT meta-GGA SCAN
# final energy: -6.836 eV/atom
data_MnH12C2N2Cl4
_cell_length_a 7.128
_cell_length_b 7.128
_cell_length_c 19.411
_cell_angle_alpha 90.00
_cell_angle_beta 90.00
_cell_angle_gamma 90.00
_space_group_name_H-M_alt 'P 42/n c m'
_space_group_IT_number 138
loop_
_space_group_symop_operation_xyz
'x,y,z'
'-x,-y,-z'
'-y+1/2,x,z+1/2'
'y+1/2,-x,-z+1/2'
'-x+1/2,-y+1/2,z'
'x+1/2,y+1/2,-z'
'y,-x+1/2,z+1/2'
'-y,x+1/2,-z+1/2'
'x+1/2,-y,-z+1/2'
'-x+1/2,y,z+1/2'
'-y,-x,-z'
'y,x,z'
'-x,y+1/2,-z+1/2'
'x,-y+1/2,z+1/2'
'y+1/2,x+1/2,-z'
'-y+1/2,-x+1/2,z'
loop_
_atom_site_label
_atom_site_fract_x
_atom_site_fract_y
_atom_site_fract_z
_atom_site_occupancy
Mn1 0.000 0.000 0.000 1
H1 0.002 0.664 0.109 1
H2 0.017 0.196 0.687 1
H3 0.032 0.032 0.277 1
H4 0.052 0.052 0.576 1
C1 0.044 0.044 0.683 1
N1 0.020 0.020 0.385 1
Cl1 0.036 0.036 0.875 1
Cl2 0.250 0.250 0.022 1
Cl3 0.250 0.750 0.000 1

Record 3
# AlCd2Te, PBEsol geometry, DFT meta-GGA SCAN
# excess energy over the best structure of this formula in the dataset: 0 meV/atom
# formation energy without anion corrections: 100 meV/atom
data_AlCd2Te
_cell_length_a 3.846
_cell_length_b 3.846
_cell_length_c 6.305
_cell_angle_alpha 90.00
_cell_angle_beta 90.00
_cell_angle_gamma 90.00
_space_group_name_H-M_alt 'P 4 m m'
_space_group_IT_number 99
_space_group_name_Hall 'P 4 -2'
loop_
_atom_site_label
_atom_site_fract_x
_atom_site_fract_y
_atom_site_fract_z
_atom_site_occupancy
Al1 0.000 0.000 0.000 1
Cd1 0.000 0.000 0.478 1
Cd2 0.500 0.500 0.315 1
Te1 0.500 0.500 0.843 1